Record 1
Here is an optimized crystal structure of KPuCu2F8 from Alexandria via LeMat-Bulk. Energies are from PBE.

a = 9.9669 Å, b = 9.9669 Å, c = 9.9669 Å
α = 29.94°, β = 29.94°, γ = 29.94°
Positions (direct):
K 0.0000 0.0000 0.0000
Pu 0.5000 0.5000 0.5000
Cu 0.2545 0.2545 0.2545
Cu 0.7455 0.7455 0.7455
F 0.1143 0.4687 0.7772
F 0.2228 0.8857 0.5313
F 0.3190 0.3190 0.3190
F 0.4687 0.7772 0.1143
F 0.5313 0.2228 0.8857
F 0.6810 0.6810 0.6810
F 0.7772 0.1143 0.4687
F 0.8857 0.5313 0.2228

Results
The value obtained for the formation energy from raw total energies is -2402.5 meV/atom.

---

Record 2
Here is an optimized crystal structure of HoErNb from Alexandria via LeMat-Bulk. Energies are from PBE.

a = 9.7584 Å, b = 9.7584 Å, c = 4.9318 Å
α = 90.00°, β = 90.00°, γ = 161.26°
Positions (direct):
Ho 0.1349 0.8651 0.7500
Ho 0.8651 0.1349 0.2500
Er 0.4488 0.5512 0.7500
Er 0.5512 0.4488 0.2500
Nb 0.2844 0.7156 0.7500
Nb 0.7156 0.2844 0.2500

---

Record 3
Here is an optimized crystal structure of Pm6Pr12Sm from Alexandria via LeMat-Bulk. Energies are from PBE.

a = 8.8161 Å, b = 8.8161 Å, c = 8.8161 Å
α = 89.11°, β = 89.11°, γ = 89.11°
Positions (direct):
Pm 0.1999 0.7610 0.5965
Pm 0.2390 0.4035 0.8001
Pm 0.4035 0.8001 0.2390
Pm 0.5965 0.1999 0.7610
Pm 0.7610 0.5965 0.1999
Pm 0.8001 0.2390 0.4035
Pr 0.0355 0.9337 0.2807
Pr 0.0663 0.7193 0.9645
Pr 0.1387 0.4823 0.3070
Pr 0.2807 0.0355 0.9337
Pr 0.3070 0.1387 0.4823
Pr 0.4823 0.3070 0.1387
Pr 0.5177 0.6930 0.8613
Pr 0.6930 0.8613 0.5177
Pr 0.7193 0.9645 0.0663
Pr 0.8613 0.5177 0.6930
Pr 0.9337 0.2807 0.0355
Pr 0.9645 0.0663 0.7193
Sm 0.5000 0.5000 0.5000

Results
As for the energy above the most stable polymorph in this dataset: 0.0 kJ/mol of atoms.

---

Record 4
Here is an optimized crystal structure of AcEuAgBi from Alexandria via LeMat-Bulk. Energies are from PBE.

a = 5.6788 Å, b = 5.6788 Å, c = 5.6788 Å
α = 60.00°, β = 60.00°, γ = 60.00°
Positions (direct):
Ac 0.0000 0.0000 0.0000
Eu 0.5000 0.5000 0.5000
Ag 0.2500 0.2500 0.2500
Bi 0.7500 0.7500 0.7500

---

Record 5
Here is an optimized crystal structure of GeBrN2 from Alexandria via LeMat-Bulk. Energies are from PBE.

a = 6.4338 Å, b = 6.4338 Å, c = 6.4338 Å
α = 27.96°, β = 27.96°, γ = 27.96°
Positions (direct):
Ge 0.0000 0.0000 0.0000
Br 0.5000 0.5000 0.5000
N 0.3881 0.3881 0.3881
N 0.6119 0.6119 0.6119

Results
As for the energy above the most stable polymorph in this dataset: 0.0 kJ/mol of atoms. The value obtained for the formation energy from raw total energies is 776.9 meV/atom.

---

Record 6
Here is an optimized crystal structure of ErTm4Sc15 from Alexandria via LeMat-Bulk. Energies are from PBE.

a = 4.6870 Å, b = 4.6870 Å, c = 23.4933 Å
α = 90.00°, β = 90.00°, γ = 90.00°
Positions (direct):
Er 0.0000 0.0000 0.0000
Tm 0.0000 0.0000 0.2000
Tm 0.0000 0.0000 0.4000
Tm 0.0000 0.0000 0.6000
Tm 0.0000 0.0000 0.8000
Sc 0.0000 0.5000 0.1001
Sc 0.0000 0.5000 0.3000
Sc 0.0000 0.5000 0.5000
Sc 0.0000 0.5000 0.7000
Sc 0.0000 0.5000 0.8999
Sc 0.5000 0.0000 0.1001
Sc 0.5000 0.0000 0.3000
Sc 0.5000 0.0000 0.5000
Sc 0.5000 0.0000 0.7000
Sc 0.5000 0.0000 0.8999
Sc 0.5000 0.5000 0.0000
Sc 0.5000 0.5000 0.2000
Sc 0.5000 0.5000 0.4000
Sc 0.5000 0.5000 0.6000
Sc 0.5000 0.5000 0.8000

---

Record 7
Here is an optimized crystal structure of Nd4Sm3Tm5 from Alexandria via LeMat-Bulk. Energies are from PBE.

a = 8.5672 Å, b = 8.5672 Å, c = 9.3842 Å
α = 114.83°, β = 114.83°, γ = 40.69°
Positions (direct):
Nd 0.0854 0.0854 0.4475
Nd 0.2122 0.2122 0.8847
Nd 0.7878 0.7878 0.1153
Nd 0.9146 0.9146 0.5525
Sm 0.2129 0.2129 0.2390
Sm 0.5000 0.5000 0.0000
Sm 0.7871 0.7871 0.7610
Tm 0.0000 0.0000 0.0000
Tm 0.3296 0.3296 0.6179
Tm 0.4302 0.4302 0.3009
Tm 0.5698 0.5698 0.6991
Tm 0.6704 0.6704 0.3821

Results
As for the energy above the most stable polymorph in this dataset: 19.8 kJ/mol of atoms.

---

Record 8
Here is an optimized crystal structure of CeEr2Sc from Alexandria via LeMat-Bulk. Energies are from PBE.

a = 11.3835 Å, b = 11.3835 Å, c = 11.3835 Å
α = 17.41°, β = 17.41°, γ = 17.41°
Positions (direct):
Ce 0.0000 0.0000 0.0000
Er 0.2477 0.2477 0.2477
Er 0.4205 0.4205 0.4205
Sc 0.8346 0.8346 0.8346

Results
As for the energy above the most stable polymorph in this dataset: 0.0 kJ/mol of atoms.

---

Record 9
Here is an optimized crystal structure of LiCa2Pt2 from Alexandria via LeMat-Bulk. Energies are from PBE.

a = 7.3904 Å, b = 7.3904 Å, c = 4.0782 Å
α = 90.00°, β = 90.00°, γ = 90.00°
Positions (direct):
Li 0.0000 0.0000 0.0000
Li 0.5000 0.5000 0.0000
Ca 0.1676 0.3324 0.5000
Ca 0.3324 0.8324 0.5000
Ca 0.6676 0.1676 0.5000
Ca 0.8324 0.6676 0.5000
Pt 0.1313 0.6313 0.0000
Pt 0.3687 0.1313 0.0000
Pt 0.6313 0.8687 0.0000
Pt 0.8687 0.3687 0.0000

Results
As for the energy above the most stable polymorph in this dataset: 9.1 kJ/mol of atoms.

---

Record 10
Here is an optimized crystal structure of Li5Ac2Au3N2 from Alexandria via LeMat-Bulk. Energies are from PBE.

a = 12.2954 Å, b = 12.2954 Å, c = 12.2954 Å
α = 159.21°, β = 159.21°, γ = 29.57°
Positions (direct):
Li 0.0000 0.0000 0.0000
Li 0.0743 0.5743 0.5000
Li 0.4257 0.9257 0.5000
Li 0.5743 0.0743 0.5000
Li 0.9257 0.4257 0.5000
Ac 0.1813 0.1813 0.0000
Ac 0.8187 0.8187 0.0000
Au 0.3273 0.3273 0.0000
Au 0.5000 0.5000 0.0000
Au 0.6727 0.6727 0.0000
N 0.0859 0.0859 0.0000
N 0.9141 0.9141 0.0000

Results
The value obtained for the formation energy from raw total energies is -565.9 meV/atom.

---

Record 11
Here is an optimized crystal structure of Y3NpSe6 from Alexandria via LeMat-Bulk. Energies are from PBE.

a = 7.7626 Å, b = 7.7626 Å, c = 7.7626 Å
α = 55.62°, β = 55.62°, γ = 55.62°
Positions (direct):
Y 0.0000 0.0000 0.0000
Y 0.1957 0.1957 0.1957
Y 0.6939 0.6939 0.6939
Np 0.4990 0.4990 0.4990
Se 0.0904 0.4037 0.7990
Se 0.2931 0.9060 0.5965
Se 0.4037 0.7990 0.0904
Se 0.5965 0.2931 0.9060
Se 0.7990 0.0904 0.4037
Se 0.9060 0.5965 0.2931

Results
As for the energy above the most stable polymorph in this dataset: 4.1 kJ/mol of atoms. The value obtained for the formation energy from raw total energies is -1649.0 meV/atom.

---

Record 12
Here is an optimized crystal structure of Al2Cd2Bi from Alexandria via LeMat-Bulk. Energies are from PBE.

a = 7.2478 Å, b = 7.2478 Å, c = 7.2478 Å
α = 146.14°, β = 146.14°, γ = 48.64°
Positions (direct):
Al 0.2500 0.7500 0.5000
Al 0.7500 0.2500 0.5000
Cd 0.1074 0.1074 0.0000
Cd 0.8926 0.8926 0.0000
Bi 0.5000 0.5000 0.0000

Results
As for the energy above the most stable polymorph in this dataset: 1.1 kJ/mol of atoms.

---

Record 13
Here is an optimized crystal structure of Th2ScAl from Alexandria via LeMat-Bulk. Energies are from PBE.

a = 4.7391 Å, b = 4.7391 Å, c = 4.7128 Å
α = 90.00°, β = 90.00°, γ = 90.00°
Positions (direct):
Th 0.0000 0.5000 0.0000
Th 0.5000 0.0000 0.0000
Sc 0.0000 0.0000 0.5000
Al 0.5000 0.5000 0.5000

Results
As for the energy above the most stable polymorph in this dataset: 0.0 kJ/mol of atoms.

---

Record 14
Here is an optimized crystal structure of Ca4SbRu from Alexandria via LeMat-Bulk. Energies are from PBE.

a = 6.1358 Å, b = 6.1358 Å, c = 6.1358 Å
α = 60.00°, β = 60.00°, γ = 60.00°
Positions (direct):
Ca 0.1243 0.1243 0.1243
Ca 0.1243 0.1243 0.6271
Ca 0.1243 0.6271 0.1243
Ca 0.6271 0.1243 0.1243
Sb 0.5000 0.5000 0.5000
Ru 0.7500 0.7500 0.7500

Results
The value obtained for the formation energy from raw total energies is 576.8 meV/atom.

---

Record 15
Here is an optimized crystal structure of LaPmSi2 from Alexandria via LeMat-Bulk. Energies are from PBE.

a = 4.8204 Å, b = 4.8204 Å, c = 4.1430 Å
α = 90.00°, β = 90.00°, γ = 90.00°
Positions (direct):
La 0.0000 0.0000 0.0000
Pm 0.5000 0.5000 0.0000
Si 0.0000 0.5000 0.5000
Si 0.5000 0.0000 0.5000

Results
The value obtained for the formation energy from raw total energies is -450.6 meV/atom.

---

Record 16
Here is an optimized crystal structure of NaGa2TcPb from Alexandria via LeMat-Bulk. Energies are from PBE.

a = 4.9330 Å, b = 4.9330 Å, c = 5.2622 Å
α = 90.00°, β = 90.00°, γ = 90.00°
Positions (direct):
Na 0.0000 0.0000 0.0000
Ga 0.0000 0.5000 0.5000
Ga 0.5000 0.0000 0.5000
Tc 0.5000 0.5000 0.5000
Pb 0.5000 0.5000 0.0000

Results
As for the energy above the most stable polymorph in this dataset: 0.0 kJ/mol of atoms.

---

Record 17
Here is an optimized crystal structure of La7Ga3N2 from Alexandria via LeMat-Bulk. Energies are from PBE.

a = 12.6163 Å, b = 12.6163 Å, c = 4.9826 Å
α = 90.00°, β = 90.00°, γ = 156.69°
Positions (direct):
La 0.0000 0.0000 0.0000
La 0.0987 0.9013 0.5000
La 0.2036 0.7964 0.0000
La 0.3974 0.6026 0.0000
La 0.6026 0.3974 0.0000
La 0.7964 0.2036 0.0000
La 0.9013 0.0987 0.5000
Ga 0.3040 0.6960 0.5000
Ga 0.5000 0.5000 0.5000
Ga 0.6960 0.3040 0.5000
N 0.1044 0.8956 0.0000
N 0.8956 0.1044 0.0000

Results
The value obtained for the formation energy from raw total energies is -743.8 meV/atom.

---

Record 18
Here is an optimized crystal structure of LiHo2Mo from Alexandria via LeMat-Bulk. Energies are from PBE.

a = 3.4675 Å, b = 3.4675 Å, c = 8.0265 Å
α = 90.00°, β = 90.00°, γ = 90.00°
Positions (direct):
Li 0.0000 0.0000 0.0000
Ho 0.5000 0.5000 0.2884
Ho 0.5000 0.5000 0.7116
Mo 0.0000 0.0000 0.5000

---

Record 19
Here is an optimized crystal structure of KSc3Bi from Alexandria via LeMat-Bulk. Energies are from PBE.

a = 5.6930 Å, b = 5.6930 Å, c = 5.6930 Å
α = 90.00°, β = 90.00°, γ = 90.00°
Positions (direct):
K 0.0000 0.0000 0.0000
Sc 0.0000 0.5000 0.5000
Sc 0.5000 0.0000 0.5000
Sc 0.5000 0.5000 0.0000
Bi 0.5000 0.5000 0.5000

Results
As for the energy above the most stable polymorph in this dataset: 0.0 kJ/mol of atoms.

---

Record 20
Here is an optimized crystal structure of SmDy6Sc from Alexandria via LeMat-Bulk. Energies are from PBE.

a = 4.9889 Å, b = 4.9889 Å, c = 9.9150 Å
α = 90.00°, β = 90.00°, γ = 90.00°
Positions (direct):
Sm 0.0000 0.0000 0.0000
Dy 0.0000 0.5000 0.2564
Dy 0.0000 0.5000 0.7436
Dy 0.5000 0.0000 0.2564
Dy 0.5000 0.0000 0.7436
Dy 0.5000 0.5000 0.0000
Dy 0.5000 0.5000 0.5000
Sc 0.0000 0.0000 0.5000

Results
As for the energy above the most stable polymorph in this dataset: 0.5 kJ/mol of atoms.

---

| no. | Fermi-level density of states (states/eV/cell) | theoretical density (Mg/m³) | energy (eV per atom) |
| --- | --- | --- | --- |
| 1 | 15.67 | 4.3 | -5.62 |
| 2 | 8.31 | 9.4 | -6.07 |
| 3 | 29.73 | 6.6 | -4.64 |
| 4 | 3.27 | 8.9 | -5.82 |
| 5 | 2.26 | 5.8 | -4.96 |
| 6 | 38.58 | 4.9 | -5.82 |
| 7 | 18.83 | 7.7 | -4.41 |
| 8 | 7.25 | 7.5 | -5.28 |
| 9 | 3.94 | 7.1 | -4.33 |
| 10 | 1.53 | 7.9 | -4.25 |
| 11 | 5.37 | 5.5 | -6.97 |
| 12 | 1.57 | 6.9 | -2.44 |
| 13 | 4.56 | 8.4 | -6.38 |
| 14 | 5.43 | 3.9 | -2.99 |
| 15 | 3.70 | 5.9 | -5.58 |
| 16 | 1.20 | 6.1 | -4.25 |
| 17 | 10.35 | 6.4 | -5.76 |
| 18 | 4.07 | 7.4 | -5.27 |
| 19 | 6.99 | 3.4 | -4.34 |
| 20 | 12.45 | 7.9 | -4.80 |